[1]
{
  "formula": "Re2MoOsSe",
  "functional": "GGA-PBE",
  "state": "optimized geometry",
  "space_group": "P4/mmm (123)",
  "raw_formation_energy_ev_per_atom": 2.428,
  "volume_a3_per_atom": 20.14,
  "total_energy_ev_per_atom": -7.660,
  "m_tot_mub_per_fu": 0.00,
  "crystal_system": "tetragonal",
  "lattice_angstrom": [[4.671, 0.000, 0.000], [0.000, 4.671, 0.000], [0.000, 0.000, 4.616]],
  "species": ["Re", "Re", "Mo", "Os", "Se"],
  "fractional_positions": [[0.000, 0.500, 0.000], [0.500, 0.000, 0.000], [0.000, 0.000, 0.000], [0.500, 0.500, 0.500], [0.000, 0.000, 0.500]]
}

=====

[2]
{
  "formula": "TaReMoOs",
  "functional": "GGA-PBE",
  "state": "optimized geometry",
  "space_group": "F-43m (216)",
  "delta_e_f_ev_per_atom": -0.024,
  "volume_a3_per_atom": 15.81,
  "total_energy_ev_per_atom": -11.614,
  "m_tot_mub_per_fu": 0.00,
  "crystal_system": "cubic",
  "lattice_angstrom": [[0.000, 3.162, 3.162], [3.162, 0.000, 3.162], [3.162, 3.162, 0.000]],
  "species": ["Ta", "Re", "Mo", "Os"],
  "fractional_positions": [[0.000, 0.000, 0.000], [0.250, 0.250, 0.250], [0.500, 0.500, 0.500], [0.750, 0.750, 0.750]]
}

=====

[3]
{
  "formula": "ReTeMo2Os",
  "functional": "GGA-PBE",
  "state": "optimized geometry",
  "space_group": "P4/mmm (123)",
  "raw_formation_energy_ev_per_atom": 1.700,
  "volume_a3_per_atom": 21.93,
  "total_energy_ev_per_atom": -7.997,
  "m_tot_mub_per_fu": 1.36,
  "crystal_system": "tetragonal",
  "lattice_angstrom": [[4.789, 0.000, 0.000], [0.000, 4.789, 0.000], [0.000, 0.000, 4.782]],
  "species": ["Re", "Te", "Mo", "Mo", "Os"],
  "fractional_positions": [[0.000, 0.000, 0.000], [0.500, 0.500, 0.000], [0.000, 0.500, 0.500], [0.500, 0.000, 0.500], [0.000, 0.000, 0.500]]
}

=====

[4]
{
  "formula": "TiReMoOs",
  "functional": "GGA-PBE",
  "state": "optimized geometry",
  "space_group": "F-43m (216)",
  "delta_e_f_ev_per_atom": -0.235,
  "volume_a3_per_atom": 15.14,
  "total_energy_ev_per_atom": -10.836,
  "m_tot_mub_per_fu": 0.00,
  "crystal_system": "cubic",
  "lattice_angstrom": [[0.000, 3.117, 3.117], [3.117, 0.000, 3.117], [3.117, 3.117, 0.000]],
  "species": ["Ti", "Re", "Mo", "Os"],
  "fractional_positions": [[0.000, 0.000, 0.000], [0.250, 0.250, 0.250], [0.500, 0.500, 0.500], [0.750, 0.750, 0.750]]
}

=====

[5]
{
  "formula": "Mo4Os3Rh",
  "functional": "GGA-PBE",
  "state": "optimized geometry",
  "space_group": "C2/m (12)",
  "delta_e_f_ev_per_atom": 0.000,
  "volume_a3_per_atom": 15.06,
  "total_energy_ev_per_atom": -10.546,
  "m_tot_mub_per_fu": 0.00,
  "crystal_system": "monoclinic",
  "lattice_angstrom": [[4.364, -1.969, 0.000], [4.364, 1.969, 0.000], [-3.519, 0.000, 7.012]],
  "species": ["Mo", "Mo", "Mo", "Mo", "Os", "Os", "Os", "Rh"],
  "fractional_positions": [[0.249, 0.249, 0.128], [0.251, 0.251, 0.623], [0.749, 0.749, 0.377], [0.751, 0.751, 0.872], [0.003, 0.003, 0.751], [0.500, 0.500, 0.500], [0.997, 0.997, 0.249], [0.500, 0.500, 0.000]]
}

=====

[6]
{
  "formula": "MoOs3Rh",
  "functional": "GGA-PBE",
  "state": "optimized geometry",
  "space_group": "Pm-3m (221)",
  "delta_e_f_ev_per_atom": 2.389,
  "volume_a3_per_atom": 19.93,
  "e_above_lowest_polymorph_mev_per_atom": 980,
  "total_energy_ev_per_atom": -7.985,
  "m_tot_mub_per_fu": 1.91,
  "crystal_system": "cubic",
  "lattice_angstrom": [[4.636, 0.000, 0.000], [0.000, 4.636, 0.000], [0.000, 0.000, 4.636]],
  "species": ["Mo", "Os", "Os", "Os", "Rh"],
  "fractional_positions": [[0.000, 0.000, 0.000], [0.000, 0.000, 0.500], [0.000, 0.500, 0.000], [0.500, 0.000, 0.000], [0.500, 0.500, 0.500]]
}